1.
## Dy4Ni (PBE)

Data for an optimized crystal structure of Dy4Ni.

a = 7.1494 Å, b = 7.1494 Å, c = 7.1537 Å
α = 107.37°, β = 107.37°, γ = 113.73°
Element x y z (fractional)
Dy1 0.6352 0.4654 0.7624
Dy2 0.7030 0.8728 0.2376
Dy3 0.7880 0.0262 0.8307
Dy4 0.1956 0.9573 0.1693
Dy5 0.2762 0.5380 0.3307
Dy6 0.2073 0.9456 0.6693
Dy7 0.1228 0.4530 0.7376
Dy8 0.7154 0.3852 0.2624
Ni1 0.3302 0.3302 0.0000
Ni2 0.5802 0.0802 0.5000

Values from the calculation:
Calculated formation energy in eV per atom: -0.123
Density of states at the Fermi level in states/eV/atom: 1.37
Excess energy over the best structure of this formula in the dataset in kJ/mol of atoms: 0.0

2.
## DyNi (PBE)

Data for an optimized crystal structure of DyNi.

a = 4.2259 Å, b = 5.3983 Å, c = 6.9860 Å
α = 90.00°, β = 90.00°, γ = 90.00°
Element x y z (fractional)
Dy1 0.2500 0.3665 0.6804
Dy2 0.7500 0.6335 0.3196
Dy3 0.7500 0.8665 0.8196
Dy4 0.2500 0.1335 0.1804
Ni1 0.2500 0.8732 0.5375
Ni2 0.7500 0.1268 0.4625
Ni3 0.7500 0.3732 0.9625
Ni4 0.2500 0.6268 0.0375

Values from the calculation:
Calculated formation energy in eV per atom: -0.456
Density of states at the Fermi level in states/eV/atom: 0.58

3.
## Dy3Ni (PBE)

Data for an optimized crystal structure of Dy3Ni.

a = 3.5527 Å, b = 3.4736 Å, c = 8.9351 Å
α = 90.00°, β = 90.00°, γ = 90.00°
Element x y z (fractional)
Ni1 0.0000 0.0000 0.9891
Dy1 0.0000 0.5000 0.4670
Dy2 0.5000 0.5000 0.1223
Dy3 0.5000 0.0000 0.7550

Values from the calculation:
Calculated formation energy in eV per atom: 0.010
Density of states at the Fermi level in states/eV/atom: 1.41

4.
## Dy2Ni17 (PBE)

Data for an optimized crystal structure of Dy2Ni17.

a = 8.2874 Å, b = 8.2874 Å, c = 8.0229 Å
α = 90.00°, β = 90.00°, γ = 120.00°
Element x y z (fractional)
Dy1 0.0000 0.0000 0.2500
Dy2 0.0000 0.0000 0.7500
Dy3 0.3333 0.6667 0.7500
Dy4 0.6667 0.3333 0.2500
Ni1 0.3333 0.6667 0.3981
Ni2 0.6667 0.3333 0.6019
Ni3 0.6667 0.3333 0.8981
Ni4 0.3333 0.6667 0.1019
Ni5 0.5000 0.5000 0.5000
Ni6 0.5000 0.0000 0.5000
Ni7 0.0000 0.5000 0.5000
Ni8 0.5000 0.5000 0.0000
Ni9 0.5000 0.0000 0.0000
Ni10 0.0000 0.5000 0.0000
Ni11 0.3279 0.3711 0.2500
Ni12 0.6289 0.9568 0.2500
Ni13 0.0432 0.6721 0.2500
Ni14 0.6289 0.6721 0.2500
Ni15 0.0432 0.3711 0.2500
Ni16 0.3279 0.9568 0.2500
Ni17 0.6721 0.6289 0.7500
Ni18 0.3711 0.0432 0.7500
Ni19 0.9568 0.3279 0.7500
Ni20 0.3711 0.3279 0.7500
Ni21 0.9568 0.6289 0.7500
Ni22 0.6721 0.0432 0.7500
Ni23 0.1657 0.8343 0.5209
Ni24 0.1657 0.3314 0.5209
Ni25 0.6686 0.8343 0.5209
Ni26 0.8343 0.1657 0.4791
Ni27 0.8343 0.6686 0.4791
Ni28 0.3314 0.1657 0.4791
Ni29 0.8343 0.1657 0.0209
Ni30 0.8343 0.6686 0.0209
Ni31 0.3314 0.1657 0.0209
Ni32 0.1657 0.8343 0.9791
Ni33 0.1657 0.3314 0.9791
Ni34 0.6686 0.8343 0.9791

Values from the calculation:
Calculated formation energy in eV per atom: -0.200
Density of states at the Fermi level in states/eV/atom: 1.37
Excess energy over the best structure of this formula in the dataset in kJ/mol of atoms: 0.0

5.
## Dy3Ni4 (PBE)

Data for an optimized crystal structure of Dy3Ni4.

a = 4.0553 Å, b = 5.2718 Å, c = 12.9454 Å
α = 90.00°, β = 90.00°, γ = 112.62°
Element x y z (fractional)
Dy1 0.7136 0.4272 0.1024
Dy2 0.2886 0.5773 0.8983
Dy3 0.7136 0.4272 0.3983
Dy4 0.2887 0.5773 0.6024
Dy5 0.9963 0.9927 0.2503
Dy6 0.0058 0.0117 0.7504
Ni1 0.2896 0.5793 0.2503
Ni2 0.7125 0.4250 0.7503
Ni3 0.4275 0.8550 0.0874
Ni4 0.0013 0.0027 0.0003
Ni5 0.4275 0.8550 0.4132
Ni6 0.5748 0.1497 0.9132
Ni7 0.0013 0.0026 0.5004
Ni8 0.5748 0.1497 0.5875

Values from the calculation:
Calculated formation energy in eV per atom: -0.429
Density of states at the Fermi level in states/eV/atom: 0.73

6.
## Dy7Ni3 (PBE)

Data for an optimized crystal structure of Dy7Ni3.

a = 6.1628 Å, b = 9.6211 Å, c = 9.6211 Å
α = 120.00°, β = 90.00°, γ = 90.00°
Element x y z (fractional)
Dy1 0.1404 0.6667 0.3333
Dy2 0.6404 0.3333 0.6667
Dy3 0.9364 0.8742 0.7485
Dy4 0.9364 0.8742 0.1258
Dy5 0.9364 0.2515 0.1258
Dy6 0.4364 0.1258 0.2515
Dy7 0.4364 0.1258 0.8742
Dy8 0.4364 0.7485 0.8742
Dy9 0.1208 0.4594 0.9188
Dy10 0.1208 0.4594 0.5406
Dy11 0.1208 0.0812 0.5406
Dy12 0.6208 0.5406 0.0812
Dy13 0.6208 0.5406 0.4594
Dy14 0.6208 0.9188 0.4594
Ni1 0.8653 0.1898 0.3795
Ni2 0.8653 0.1898 0.8102
Ni3 0.8653 0.6205 0.8102
Ni4 0.3653 0.8102 0.6205
Ni5 0.3653 0.8102 0.1898
Ni6 0.3653 0.3795 0.1898

Values from the calculation:
Calculated formation energy in eV per atom: -0.267
Density of states at the Fermi level in states/eV/atom: 1.46